A plane-wave DFT calculation with PBE-GGA was carried out for Dy2SiTe after structural relaxation.

The space group is R3m (No. 160, hexagonal axes) and the conventional cell measures 4.2054, 4.2054 and 21.6834 Å, with angles of 90.00, 90.00 and 120.00 degrees. Symmetry generates all atoms from Dy at (0.0000, 0.0000, 0.0000), Dy at (0.0000, 0.0000, 0.1907), Si at (0.0000, 0.0000, 0.5967) and Te at (0.0000, 0.0000, 0.4276).

For the raw formation energy, the calculation gives -4.11 eV per formula unit. As for the distance to the lowest polymorph of the same formula: 0.066 eV per atom.